Entry from Alexandria: an optimized crystal structure of LaHfScHg2 (PBE-GGA).

Calculated values
- Uncorrected energy: -3.08 eV per atom
- DOS(E_F): 1.235 states/eV per atom
- Space group: P4/mmm (123)
- Magnetization: 1.15 μB/f.u.
- Formation energy from the elements: 1281.5 meV per atom

Cell and atoms, written as extended XYZ:
```
5
Lattice="-4.5724 -3.2505 -0.3144 2.6189 -3.3740 -3.2043 1.7520 -2.8982 4.4836" Properties=species:S:1:pos:R:3 pbc="T T T"
Sc 1.3094 -1.6870 -1.6021
Hf -0.1008 -4.7613 0.4824
Hg 0.8760 -1.4491 2.2418
Hg -2.2862 -1.6252 -0.1572
La 0.0000 0.0000 0.0000
```